## RePt5 (PBE)

Data for a relaxed structure of RePt5.

POSCAR file:
```
RePt5
1.0
5.2257 -1.3975 0.0000
5.2257 1.3975 0.0000
-1.7964 0.0000 6.3869
Re Pt
1 5
Cartesian
0.0000 0.0000 0.0000
2.8778 0.0000 0.3314
2.2929 0.0000 4.2722
5.0174 0.0000 4.6614
6.3720 0.0000 2.0323
9.2229 0.0000 2.4524
```

Computed properties:
space-group type = Cm (8)
ΔH_f (0 K) = -24 meV/atom
crystal system = monoclinic
energy above the most stable polymorph in this dataset = 72 meV per atom

=====

## TbCeNdY (PBE)

Data for a relaxed structure of TbCeNdY.

POSCAR file:
```
TbCeNdY
1.0
0.0000 4.0434 4.0434
4.0434 0.0000 4.0434
4.0434 4.0434 0.0000
Tb Ce Nd Y
1 1 1 1
Cartesian
0.0000 0.0000 0.0000
2.0217 2.0217 2.0217
6.0651 6.0651 6.0651
4.0434 4.0434 4.0434
```

Computed properties:
space-group type = F-43m (216)
ΔH_f (0 K) = 172 meV/atom
crystal system = cubic